# Mn3PtO8

A relaxed Mn3PtO8 crystal (GGA+U, Alexandria via LeMat-Bulk).

a = 5.983 Å, b = 5.983 Å, c = 6.090 Å
α = 119.86°, β = 90.00°, γ = 120.00°
Fractional coordinates of all 12 atoms:
Mn (0.500, 0.000, 0.000)
Mn (0.500, 0.500, 0.000)
Mn (0.000, 0.500, 0.000)
Pt (0.000, 0.000, 0.000)
O (0.269, 0.538, 0.809)
O (0.731, 0.462, 0.191)
O (0.279, 0.041, 0.805)
O (0.762, 0.041, 0.805)
O (0.762, 0.523, 0.806)
O (0.238, 0.477, 0.194)
O (0.238, 0.959, 0.195)
O (0.721, 0.959, 0.195)

Results
The value obtained for the energy is -6.76 eV/atom.